(1)
PmTmSbS: optimized geometry, PBE.

abc: 4.0764 4.0764 22.1223
angles: 90.00 90.00 120.00
Closest atoms and distances in Å follow each position.
Space group R3m (No. 160, hexagonal axes)
Asymmetric unit:
Pm 0.0000 0.0000 0.0000 (multiplicity 3)  3 S 3.04, 3 Sb 3.09
Tm 0.0000 0.0000 0.1609 (multiplicity 3)  3 S 2.87, 3 Sb 2.97
Sb 0.0000 0.0000 0.5761 (multiplicity 3)  3 Tm 2.97, 3 Pm 3.09
S 0.0000 0.0000 0.7536 (multiplicity 3)  3 Tm 2.87, 3 Pm 3.04

The calculation puts the size of the total moment at 1.7 μB/cell. The value obtained for the total energy is -5.75 eV per atom. The value obtained for the formation energy without anion corrections is -1.3844 eV/atom.

---

(2)
PmYSbS: optimized geometry, PBE.

abc: 4.1082 4.1082 22.2709
angles: 90.00 90.00 120.00
Closest atoms and distances in Å follow each position.
Space group R3m (No. 160, hexagonal axes)
Asymmetric unit:
Pm 0.0000 0.0000 0.0000 (multiplicity 3)  3 S 3.04, 3 Sb 3.09
Y 0.0000 0.0000 0.1615 (multiplicity 3)  3 S 2.91, 3 Sb 3.01
Sb 0.0000 0.0000 0.5778 (multiplicity 3)  3 Y 3.01, 3 Pm 3.09
S 0.0000 0.0000 0.7521 (multiplicity 3)  3 Y 2.91, 3 Pm 3.04

The calculation puts the size of the total moment at 1.5 μB/cell. The value obtained for the total energy is -6.29 eV per atom. The value obtained for the formation energy without anion corrections is -1.4231 eV/atom.

---

(3)
Pm3ScS: optimized geometry, PBE.

abc: 5.4010 5.4010 5.4010
angles: 90.00 90.00 90.00
Closest atoms and distances in Å follow each position.
Space group Pm-3m (No. 221)
Asymmetric unit:
Pm 0.0000 0.0000 0.5000 (multiplicity 3)  2 S 2.70
Sc 0.5000 0.5000 0.5000 (multiplicity 1)  12 Pm 3.82
S 0.0000 0.0000 0.0000 (multiplicity 1)  6 Pm 2.70

The calculation puts the size of the total moment at 0.0 μB/cell. The value obtained for the total energy is -5.55 eV per atom. The value obtained for the formation energy without anion corrections is -0.6124 eV/atom.

---

(4)
PmScS3: optimized geometry, PBE.

abc: 6.8023 6.8023 18.2189
angles: 90.00 90.00 120.00
Closest atoms and distances in Å follow each position.
Space group R-3 (No. 148, hexagonal axes)
Asymmetric unit:
Pm 0.0000 0.0000 0.1419 (multiplicity 6)  6 S 2.77-2.87
Sc 0.0000 0.0000 0.3437 (multiplicity 6)  6 S 2.59-2.63
S 0.0190 0.6368 0.9194 (multiplicity 18)  2 Sc 2.59-2.63, 2 Pm 2.77-2.87

The calculation puts the size of the total moment at 0.0 μB/cell. The value obtained for the total energy is -6.62 eV per atom. The value obtained for the formation energy without anion corrections is -1.9311 eV/atom. The relative energy among the computed polymorphs is 0.20 eV/f.u.

---

(5)
Pm3Sc4S8: optimized geometry, PBE.

abc: 10.9185 10.9254 7.6548
angles: 90.00 134.51 90.00
Closest atoms and distances in Å follow each position.
Space group C2/m (No. 12)
Asymmetric unit:
Pm 0.0000 0.0000 0.0000 (multiplicity 2)  6 S 2.83
Pm 0.2500 0.2500 0.5000 (multiplicity 4)  6 S 2.73
Sc 0.0000 0.5000 0.0000 (multiplicity 2)  6 S 2.63-2.64
Sc 0.0000 0.5000 0.5000 (multiplicity 2)  6 S 2.64-2.66
Sc 0.2500 0.2500 0.0000 (multiplicity 4)  6 S 2.73
S 0.0000 0.2576 0.5000 (multiplicity 4)  3 Sc 2.65-2.73, 2 Pm 2.73
S 0.0000 0.2590 0.0000 (multiplicity 4)  3 Sc 2.63-2.73, 3 Pm 2.73-2.83
S 0.2329 0.5000 0.4820 (multiplicity 4)  2 Sc 2.63-2.64, 3 Pm 2.73-2.83
S 0.2353 0.5000 0.9878 (multiplicity 4)  4 Sc 2.64-2.73, 1 Pm 2.83

The calculation puts the size of the total moment at 0.0 μB/cell. The value obtained for the total energy is -6.77 eV per atom. The value obtained for the formation energy without anion corrections is -1.9293 eV/atom.

---

(6)
PmSc3S4: optimized geometry, PBE.

abc: 3.7479 3.7479 25.1492
angles: 90.00 90.00 120.00
Closest atoms and distances in Å follow each position.
Space group P6_3/mmc (No. 194)
Asymmetric unit:
Pm 0.3333 0.6667 0.2500 (multiplicity 2)  6 S 2.85
Sc 0.0000 0.0000 0.0000 (multiplicity 2)  6 S 2.63
Sc 0.3333 0.6667 0.6183 (multiplicity 4)  6 S 2.61-2.62
S 0.0000 0.0000 0.1765 (multiplicity 4)  3 Sc 2.61, 3 Pm 2.85
S 0.3333 0.6667 0.0592 (multiplicity 4)  6 Sc 2.62-2.63

The calculation puts the size of the total moment at 0.0 μB/cell. The value obtained for the total energy is -6.92 eV per atom. The value obtained for the formation energy without anion corrections is -1.8895 eV/atom.

---

(7)
PmScS3: optimized geometry, PBE.

abc: 8.0066 3.8057 14.0286
angles: 90.00 90.00 90.00
Closest atoms and distances in Å follow each position.
Space group Pnma (No. 62)
Asymmetric unit:
Pm 0.1352 0.2500 0.1969 (multiplicity 4)  8 S 2.85-3.19
Sc 0.1849 0.7500 0.4581 (multiplicity 4)  6 S 2.58-2.62
S 0.0033 0.2500 0.3893 (multiplicity 4)  3 Sc 2.58-2.62
S 0.1562 0.2500 0.7966 (multiplicity 4)  1 Sc 2.60, 2 Pm 2.89
S 0.1614 0.7500 0.0465 (multiplicity 4)  2 Sc 2.58, 2 Pm 2.85

The calculation puts the size of the total moment at 0.0 μB/cell. The value obtained for the total energy is -6.66 eV per atom. The value obtained for the formation energy without anion corrections is -1.9708 eV/atom. The relative energy among the computed polymorphs is 0.00 eV/f.u.

---

(8)
Pm3ScS6: optimized geometry, PBE.

abc: 11.5750 11.5750 13.5815
angles: 90.00 90.00 120.00
Closest atoms and distances in Å follow each position.
Space group R-3 (No. 148, hexagonal axes)
Asymmetric unit:
Pm 0.0495 0.7784 0.2001 (multiplicity 18)  6 S 2.79-2.86
Sc 0.0000 0.0000 0.0000 (multiplicity 3)  6 S 2.57
Sc 0.0000 0.0000 0.5000 (multiplicity 3)  6 S 2.61
S 0.0227 0.8198 0.3996 (multiplicity 18)  1 Sc 2.61, 3 Pm 2.80-2.86
S 0.0311 0.8415 0.8846 (multiplicity 18)  1 Sc 2.57, 3 Pm 2.79-2.85

The calculation puts the size of the total moment at 0.0 μB/cell. The value obtained for the total energy is -6.56 eV per atom. The value obtained for the formation energy without anion corrections is -2.0213 eV/atom. The relative energy among the computed polymorphs is 0.00 eV/f.u.

---

(9)
PmSc3S: optimized geometry, PBE.

abc: 4.9959 4.9959 4.9959
angles: 90.00 90.00 90.00
Closest atoms and distances in Å follow each position.
Space group Pm-3m (No. 221)
Asymmetric unit:
Pm 0.0000 0.0000 0.0000 (multiplicity 1)  12 Sc 3.53
Sc 0.0000 0.5000 0.5000 (multiplicity 3)  2 S 2.50
S 0.5000 0.5000 0.5000 (multiplicity 1)  6 Sc 2.50

The calculation puts the size of the total moment at 1.0 μB/cell. The value obtained for the total energy is -6.17 eV per atom. The value obtained for the formation energy without anion corrections is -0.5973 eV/atom.

---

(10)
PmSc2S: optimized geometry, PBE.

abc: 3.4932 3.4932 28.5848
angles: 90.00 90.00 120.00
Closest atoms and distances in Å follow each position.
Space group R-3m (No. 166, hexagonal axes)
Asymmetric unit:
Pm 0.0000 0.0000 0.0000 (multiplicity 3)  2 Sc 3.27, 6 Pm 3.49
Sc 0.0000 0.0000 0.1143 (multiplicity 6)  3 S 2.51
S 0.0000 0.0000 0.5000 (multiplicity 3)  6 Sc 2.51

The calculation puts the size of the total moment at 0.0 μB/cell. The value obtained for the total energy is -6.11 eV per atom. The value obtained for the formation energy without anion corrections is -0.7296 eV/atom.

---

(11)
Pm5Sc3S8: optimized geometry, PBE.

abc: 7.7815 7.7815 19.3999
angles: 90.00 90.00 120.00
Closest atoms and distances in Å follow each position.
Space group R-3m (No. 166, hexagonal axes)
Asymmetric unit:
Pm 0.0000 0.0000 0.0000 (multiplicity 3)  6 S 2.78
Pm 0.0000 0.0000 0.5000 (multiplicity 3)  6 S 2.77
Pm 0.0000 0.5000 0.0000 (multiplicity 9)  6 S 2.88
Sc 0.0000 0.5000 0.5000 (multiplicity 9)  6 S 2.66-2.67
S 0.0000 0.0000 0.2407 (multiplicity 6)  3 Sc 2.67, 3 Pm 2.88
S 0.0129 0.5065 0.7565 (multiplicity 18)  2 Sc 2.66, 4 Pm 2.77-2.88

The calculation puts the size of the total moment at 0.0 μB/cell. The value obtained for the total energy is -6.67 eV per atom. The value obtained for the formation energy without anion corrections is -1.9369 eV/atom.

---

(12)
Pm2ScS4: optimized geometry, PBE.

abc: 6.9704 6.8339 7.6684
angles: 90.00 106.11 90.00
Closest atoms and distances in Å follow each position.
Space group P2_1/m (No. 11)
Asymmetric unit:
Pm 0.1881 0.2500 0.0494 (multiplicity 2)  6 S 2.84-2.89
Pm 0.2044 0.2500 0.5477 (multiplicity 2)  6 S 2.77-2.90
Sc 0.2879 0.7500 0.8210 (multiplicity 2)  4 S 2.36-2.53
S 0.0084 0.5014 0.7490 (multiplicity 4)  1 Sc 2.53
S 0.4951 0.7500 0.6238 (multiplicity 2)  1 Sc 2.36
S 0.5005 0.2500 0.8754 (multiplicity 2)  1 Sc 2.39

The calculation puts the size of the total moment at 0.0 μB/cell. The value obtained for the total energy is -6.44 eV per atom. The value obtained for the formation energy without anion corrections is -1.8199 eV/atom.